Entry 1:
The following is a PBE calculation of a relaxed structure of YHfP, from Alexandria via LeMat-Bulk.

a b c (Å): 4.0097 4.0097 15.4357
angles (deg): 90.00 90.00 90.00
With the nearest neighbours (Å) after each atom.
Sites, in units of the cell vectors:
Y 0.0000 0.0000 0.1783  5 P 2.94-3.00
Y 0.0000 0.0000 0.8217  5 P 2.94-3.00
Y 0.5000 0.5000 0.3217  5 P 2.94-3.00
Y 0.5000 0.5000 0.6783  5 P 2.94-3.00
Hf 0.0000 0.5000 0.0000  4 P 2.81, 4 Hf 2.84
Hf 0.0000 0.5000 0.5000  4 P 2.81, 4 Hf 2.84
Hf 0.5000 0.0000 0.0000  4 P 2.81, 4 Hf 2.84
Hf 0.5000 0.0000 0.5000  4 P 2.81, 4 Hf 2.84
P 0.0000 0.0000 0.3725  4 Hf 2.81, 5 Y 2.94-3.00
P 0.0000 0.0000 0.6275  4 Hf 2.81, 5 Y 2.94-3.00
P 0.5000 0.5000 0.1275  4 Hf 2.81, 5 Y 2.94-3.00
P 0.5000 0.5000 0.8725  4 Hf 2.81, 5 Y 2.94-3.00

Output
symmetry: I4/mmm (139)
magnetization: 0.00 μB/cell
energy of formation: -0.995 eV per atom



Entry 2:
The following is a PBE calculation of a relaxed structure of Y3HfP, from Alexandria via LeMat-Bulk.

a b c (Å): 5.4420 5.4420 5.4420
angles (deg): 90.00 90.00 90.00
With the nearest neighbours (Å) after each atom.
Sites, in units of the cell vectors:
Y 0.0000 0.0000 0.5000  2 Hf 2.72
Y 0.0000 0.5000 0.0000  2 Hf 2.72
Y 0.5000 0.0000 0.0000  2 Hf 2.72
Hf 0.0000 0.0000 0.0000  6 Y 2.72
P 0.5000 0.5000 0.5000  12 Y 3.85

Output
symmetry: Pm-3m (221)
magnetization: 0.00 μB/cell
energy of formation: 0.861 eV per atom



Entry 3:
The following is a PBE calculation of a relaxed structure of Y5HfP6, from Alexandria via LeMat-Bulk.

a b c (Å): 6.8432 6.8432 6.8480
angles (deg): 99.61 99.61 119.96
With the nearest neighbours (Å) after each atom.
Sites, in units of the cell vectors:
Y 0.0000 0.0000 0.0000  6 P 2.79-2.89
Y 0.1658 0.8342 0.5000  6 P 2.80-2.81
Y 0.3306 0.6694 0.0000  6 P 2.79-2.87
Y 0.6694 0.3306 0.0000  6 P 2.79-2.87
Y 0.8342 0.1658 0.5000  6 P 2.80-2.81
Hf 0.5000 0.5000 0.5000  6 P 2.70
P 0.0980 0.4196 0.2581  1 Hf 2.70, 5 Y 2.79-2.87
P 0.2605 0.2605 0.7436  1 Hf 2.70, 5 Y 2.80-2.89
P 0.4196 0.0980 0.2581  1 Hf 2.70, 5 Y 2.79-2.87
P 0.5804 0.9020 0.7419  1 Hf 2.70, 5 Y 2.79-2.87
P 0.7395 0.7395 0.2564  1 Hf 2.70, 5 Y 2.80-2.89
P 0.9020 0.5804 0.7419  1 Hf 2.70, 5 Y 2.79-2.87

Output
symmetry: C2/m (12)
magnetization: 0.00 μB/cell
energy of formation: -1.574 eV per atom